## SiOsRh3 (PBE)

Data for an optimized crystal structure of SiOsRh3.

Lattice parameters (Å, degrees): 4.350 4.350 4.350 90.00 90.00 90.00
Last column: magnetic moment on the atom in μB.
Element x y z (fractional)
Si: 0.000 0.000 0.000  0.01
Rh: 0.000 0.000 0.500  0.20
Rh: 0.000 0.500 0.000  0.28
Rh: 0.500 0.000 0.000  0.34
Os: 0.500 0.500 0.500  2.02

Values from the calculation:
Calculated volume in Å³ per cell: 82.3
Energy in eV/atom: -6.916
Space group: No. 221
E_form (uncorrected) in eV/atom: 0.8259
Relative energy among the computed polymorphs in meV per atom: 0

=====

## Cs5K2NaHg2 (PBE)

Data for an optimized crystal structure of Cs5K2NaHg2.

Lattice parameters (Å, degrees): 5.150 16.553 16.553 90.00 90.00 90.00
Element x y z (fractional)
Cs: 0.500 0.708 0.444
Hg: 0.000 0.366 0.134
Hg: 0.000 0.866 0.366
K: 0.000 0.188 0.312
Hg: 0.000 0.134 0.634
Cs: 0.500 0.500 0.000
Cs: 0.500 0.444 0.292
Na: 0.000 0.000 0.000
Cs: 0.500 0.056 0.792
Cs: 0.500 0.792 0.944
Na: 0.000 0.500 0.500
K: 0.000 0.688 0.188
Cs: 0.500 0.000 0.500
K: 0.000 0.812 0.688
K: 0.000 0.312 0.812
Cs: 0.500 0.292 0.556
Cs: 0.500 0.556 0.708
Cs: 0.500 0.944 0.208
Cs: 0.500 0.208 0.056
Hg: 0.000 0.634 0.866

Values from the calculation:
Calculated volume in Å³ per cell: 1410.9
ΔE_f in meV/atom: -80
Energy in eV/atom: -0.919
Space group: No. 127

=====

## VRu2W (PBE)

Data for an optimized crystal structure of VRu2W.

Lattice parameters (Å, degrees): 5.344 5.344 5.343 107.12 107.12 114.28
Last column: magnetic moment on the atom in μB.
Element x y z (fractional)
Ru: 0.250 0.750 0.500  0.12
W: 0.750 0.250 0.000  0.02
W: 0.250 0.750 0.000  0.02
Ru: 0.750 0.250 0.500  0.12
V: 0.750 0.750 0.500  0.73
Ru: 0.750 0.750 0.000  0.12
Ru: 0.250 0.250 0.000  0.12
V: 0.250 0.250 0.500  0.73

Values from the calculation:
Calculated volume in Å³ per cell: 116.8
ΔE_f in meV/atom: 62
Energy in eV/atom: -10.094
Space group: No. 123
Relative energy among the computed polymorphs in meV per atom: 163

=====

## Ce2ThHg8 (PBE)

Data for an optimized crystal structure of Ce2ThHg8.

Lattice parameters (Å, degrees): 5.235 7.426 8.804 114.95 107.30 90.00
Last column: magnetic moment on the atom in μB.
Element x y z (fractional)
Hg: 0.649 0.435 0.297  0.01
Ce: 0.190 0.690 0.380  0.84
Hg: 0.649 0.862 0.297  0.01
Hg: 0.000 0.715 0.000  0.00
Ce: 0.810 0.310 0.620  0.84
Th: 0.500 0.000 0.000  -0.01
Hg: 0.000 0.285 0.000  0.00
Hg: 0.351 0.565 0.703  0.01
Hg: 0.351 0.138 0.703  0.01
Hg: 0.839 0.839 0.679  0.00
Hg: 0.161 0.161 0.321  0.00

Values from the calculation:
Calculated volume in Å³ per cell: 293.2
ΔE_f in meV/atom: -228
Energy in eV/atom: -2.201
Space group: No. 71

=====

## MgSe2Br (PBE)

Data for an optimized crystal structure of MgSe2Br.

Lattice parameters (Å, degrees): 9.729 9.729 9.729 21.96 21.96 21.96
Element x y z (fractional)
Se: 0.013 0.013 0.013
Br: 0.464 0.464 0.464
Se: 0.282 0.282 0.282
Mg: 0.742 0.742 0.742

Values from the calculation:
Calculated volume in Å³ per cell: 112.9
Energy in eV/atom: -2.924
Space group: No. 160
E_form (uncorrected) in eV/atom: -0.3649
Relative energy among the computed polymorphs in meV per atom: 296

=====

## SrTl2Zn (PBE)

Data for an optimized crystal structure of SrTl2Zn.

Lattice parameters (Å, degrees): 4.827 4.832 4.951 90.00 90.00 90.00
Element x y z (fractional)
Tl: 0.500 0.500 0.000
Tl: 0.000 0.000 0.000
Sr: 0.000 0.500 0.500
Zn: 0.500 0.000 0.500

Values from the calculation:
Calculated volume in Å³ per cell: 115.5
ΔE_f in meV/atom: -138
Energy in eV/atom: -2.060
Space group: No. 123

=====

## Tb3Ga2Ru3 (PBE)

Data for an optimized crystal structure of Tb3Ga2Ru3.

Lattice parameters (Å, degrees): 5.798 7.515 14.773 90.00 90.00 90.00
Element x y z (fractional)
Ga: 0.868 0.108 0.392
Tb: 0.144 0.469 0.394
Tb: 0.644 0.031 0.894
Ga: 0.368 0.392 0.892
Ru: 0.094 0.189 0.532
Tb: 0.356 0.969 0.106
Ru: 0.906 0.811 0.032
Ru: 0.406 0.689 0.968
Ga: 0.632 0.608 0.392
Ru: 0.594 0.311 0.468
Tb: 0.356 0.969 0.394
Ga: 0.132 0.892 0.892
Ga: 0.132 0.892 0.608
Ru: 0.391 0.676 0.250
Tb: 0.856 0.531 0.606
Ru: 0.891 0.824 0.750
Ru: 0.109 0.176 0.250
Tb: 0.605 0.317 0.250
Ga: 0.868 0.108 0.108
Ru: 0.094 0.189 0.968
Ru: 0.906 0.811 0.468
Tb: 0.644 0.031 0.606
Tb: 0.105 0.183 0.750
Tb: 0.856 0.531 0.894
Ru: 0.406 0.689 0.532
Ga: 0.368 0.392 0.608
Ru: 0.609 0.324 0.750
Tb: 0.895 0.817 0.250
Tb: 0.395 0.683 0.750
Ru: 0.594 0.311 0.032
Tb: 0.144 0.469 0.106
Ga: 0.632 0.608 0.108

Values from the calculation:
Calculated volume in Å³ per cell: 643.7
ΔE_f in meV/atom: -436
Energy in eV/atom: -6.408
Space group: No. 62

=====

## KAl2ZnGa8 (PBE)

Data for an optimized crystal structure of KAl2ZnGa8.

Lattice parameters (Å, degrees): 5.833 5.833 9.072 71.25 71.25 60.00
Element x y z (fractional)
K: 0.500 0.500 0.500
Al: 0.787 0.787 0.639
Ga: 0.078 0.440 0.857
Ga: 0.891 0.891 0.327
Ga: 0.560 0.375 0.143
Ga: 0.625 0.078 0.857
Zn: 0.000 0.000 0.000
Ga: 0.375 0.922 0.143
Ga: 0.109 0.109 0.673
Ga: 0.440 0.625 0.857
Al: 0.213 0.213 0.361
Ga: 0.922 0.560 0.143

Values from the calculation:
Calculated volume in Å³ per cell: 248.2
ΔE_f in meV/atom: 48
Energy in eV/atom: -2.791
Space group: No. 148

=====

## NpU3Tl3Se8 (PBE)

Data for an optimized crystal structure of NpU3Tl3Se8.

Lattice parameters (Å, degrees): 8.355 8.356 9.199 117.03 90.00 120.00
Last column: magnetic moment on the atom in μB.
Element x y z (fractional)
Se: 0.735 0.470 0.705  -0.06
Se: 0.237 0.474 0.703  -0.02
Se: 0.763 0.033 0.296  -0.02
Se: 0.729 0.967 0.704  -0.02
U: 0.500 0.500 0.500  2.44
Se: 0.271 0.033 0.296  -0.02
Tl: 0.500 0.500 0.000  0.00
Se: 0.237 0.967 0.704  -0.02
U: 0.500 0.000 0.500  2.44
Tl: 0.000 0.500 0.000  0.00
Np: 0.000 0.000 0.500  -3.81
U: 0.000 0.500 0.500  2.44
Se: 0.265 0.530 0.295  -0.06
Tl: 0.000 0.000 0.000  0.00
Se: 0.763 0.526 0.297  -0.02

Values from the calculation:
Calculated volume in Å³ per cell: 473.4
Energy in eV/atom: -6.386
Space group: No. 166
E_form (uncorrected) in eV/atom: -0.9335

=====

## RbCr2Sb (PBE)

Data for an optimized crystal structure of RbCr2Sb.

Lattice parameters (Å, degrees): 5.891 5.891 9.983 72.84 72.84 90.00
Last column: magnetic moment on the atom in μB.
Element x y z (fractional)
Cr: 0.875 0.625 0.250  4.01
Sb: 0.000 0.000 0.000  -0.10
Cr: 0.875 0.125 0.750  4.05
Sb: 0.750 0.250 0.500  -0.10
Cr: 0.375 0.125 0.750  4.05
Rb: 0.500 0.500 0.000  0.03
Cr: 0.875 0.125 0.250  4.01
Rb: 0.250 0.750 0.500  0.03

Values from the calculation:
Calculated volume in Å³ per cell: 314.8
Energy in eV/atom: -5.404
Space group: No. 141
E_form (uncorrected) in eV/atom: 0.6799

=====

## SmGe2Pd2Pt (PBE)

Data for an optimized crystal structure of SmGe2Pd2Pt.

Lattice parameters (Å, degrees): 3.980 3.980 9.712 101.82 101.82 90.00
Element x y z (fractional)
Sm: 0.500 0.500 0.000
Ge: 0.333 0.333 0.666
Ge: 0.667 0.667 0.334
Pd: 0.250 0.750 0.500
Pt: 0.000 0.000 0.000
Pd: 0.750 0.250 0.500

Values from the calculation:
Calculated volume in Å³ per cell: 147.3
ΔE_f in meV/atom: -259
Energy in eV/atom: -5.323
Space group: No. 139

=====

## Ta2NbPtS (PBE)

Data for an optimized crystal structure of Ta2NbPtS.

Lattice parameters (Å, degrees): 4.544 4.461 4.544 90.00 90.00 90.00
Element x y z (fractional)
Ta: 0.500 0.000 0.000
Pt: 0.000 0.500 0.000
Nb: 0.500 0.500 0.500
Ta: 0.000 0.000 0.500
S: 0.000 0.000 0.000

Values from the calculation:
Calculated volume in Å³ per cell: 92.1
Energy in eV/atom: -8.583
Space group: No. 123
E_form (uncorrected) in eV/atom: 0.2055

=====

## Pt2CClO (PBE)

Data for an optimized crystal structure of Pt2CClO.

Lattice parameters (Å, degrees): 3.904 5.639 3.904 90.00 90.00 90.00
Element x y z (fractional)
Pt: 0.500 0.000 0.000
O: 0.500 0.500 0.500
Cl: 0.000 0.500 0.000
C: 0.000 0.000 0.000
Pt: 0.000 0.000 0.500

Values from the calculation:
Calculated volume in Å³ per cell: 85.9
Energy in eV/atom: -4.435
Space group: No. 123
E_form (uncorrected) in eV/atom: 1.1868

=====

## Zr2FeCl (PBE)

Data for an optimized crystal structure of Zr2FeCl.

Lattice parameters (Å, degrees): 4.666 4.666 4.666 60.00 60.00 60.00
Last column: magnetic moment on the atom in μB.
Element x y z (fractional)
Cl: 0.000 0.000 0.000  0.04
Zr: 0.750 0.750 0.750  -0.13
Zr: 0.250 0.250 0.250  -0.13
Fe: 0.500 0.500 0.500  1.85

Values from the calculation:
Calculated volume in Å³ per cell: 71.8
Energy in eV/atom: -6.795
Space group: No. 225
E_form (uncorrected) in eV/atom: 0.0568
Relative energy among the computed polymorphs in meV per atom: 562

=====

## LiThPd4 (PBE)

Data for an optimized crystal structure of LiThPd4.

Lattice parameters (Å, degrees): 5.382 5.382 5.382 60.00 60.00 60.00
Element x y z (fractional)
Pd: 0.624 0.624 0.624
Th: 0.000 0.000 0.000
Li: 0.250 0.250 0.250
Pd: 0.624 0.127 0.624
Pd: 0.127 0.624 0.624
Pd: 0.624 0.624 0.127

Values from the calculation:
Calculated volume in Å³ per cell: 110.2
ΔE_f in meV/atom: -649
Energy in eV/atom: -5.667
Space group: No. 216
Relative energy among the computed polymorphs in meV per atom: 0

=====

## GeSeBr2 (PBE)

Data for an optimized crystal structure of GeSeBr2.

Lattice parameters (Å, degrees): 7.097 7.413 7.740 79.86 62.98 73.85
Element x y z (fractional)
Br: 0.819 0.594 0.640
Br: 0.418 0.718 0.152
Br: 0.455 0.298 0.524
Se: 0.480 0.230 0.005
Br: 0.013 0.048 0.995
Se: 0.613 0.915 0.603
Ge: 0.375 0.982 0.949
Ge: 0.743 0.222 0.652

Values from the calculation:
Calculated volume in Å³ per cell: 347.8
Energy in eV/atom: -3.212
Space group: No. 1
E_form (uncorrected) in eV/atom: -0.3499
Relative energy among the computed polymorphs in meV per atom: 126

=====

## SrCdCu10 (PBE)

Data for an optimized crystal structure of SrCdCu10.

Lattice parameters (Å, degrees): 4.091 5.043 8.785 90.00 90.00 90.00
Element x y z (fractional)
Cu: 0.500 0.749 0.744
Sr: 0.000 0.000 0.000
Cu: 0.500 0.000 0.500
Cu: 0.000 0.000 0.653
Cu: 0.000 0.000 0.347
Cu: 0.500 0.500 0.000
Cu: 0.500 0.749 0.256
Cu: 0.500 0.251 0.744
Cu: 0.000 0.500 0.812
Cd: 0.000 0.500 0.500
Cu: 0.500 0.251 0.256
Cu: 0.000 0.500 0.188

Values from the calculation:
Calculated volume in Å³ per cell: 181.2
ΔE_f in meV/atom: -3
Energy in eV/atom: -3.633
Space group: No. 47

=====

## NpGa2Ni7As2 (PBE)

Data for an optimized crystal structure of NpGa2Ni7As2.

Lattice parameters (Å, degrees): 3.952 3.952 12.161 72.08 72.08 93.09
Last column: magnetic moment on the atom in μB.
Element x y z (fractional)
Ni: 0.824 0.324 0.176  -0.01
Ni: 0.235 0.235 0.500  -0.02
As: 0.190 0.190 0.311  0.00
Ni: 0.676 0.176 0.824  -0.01
As: 0.810 0.810 0.689  0.00
Ni: 0.324 0.824 0.176  -0.01
Ga: 0.674 0.674 0.326  0.01
Np: 0.000 0.000 0.000  3.21
Ni: 0.176 0.676 0.824  -0.01
Ga: 0.326 0.326 0.674  0.01
Ni: 0.765 0.765 0.500  -0.02
Ni: 0.500 0.500 0.000  0.02

Values from the calculation:
Calculated volume in Å³ per cell: 169.6
ΔE_f in meV/atom: -65
Energy in eV/atom: -5.795
Space group: No. 65

=====

## Pa2PtO8 (PBE)

Data for an optimized crystal structure of Pa2PtO8.

Lattice parameters (Å, degrees): 4.433 6.351 7.027 83.37 106.58 121.35
Last column: magnetic moment on the atom in μB.
Element x y z (fractional)
O: 0.702 0.117 0.766  0.13
O: 0.021 0.857 0.796  0.11
O: 0.639 0.356 0.007  0.07
O: 0.979 0.143 0.204  0.11
O: 0.361 0.644 0.993  0.07
O: 0.283 0.480 0.603  0.04
O: 0.298 0.883 0.234  0.13
Pt: 0.500 0.000 0.000  0.39
Pa: 0.837 0.489 0.722  0.05
Pa: 0.163 0.511 0.278  0.05
O: 0.717 0.520 0.397  0.04

Values from the calculation:
Calculated volume in Å³ per cell: 161.8
Energy in eV/atom: -8.032
Space group: No. 2
E_form (uncorrected) in eV/atom: -2.1503

=====

## Zn2TcNi2 (PBE)

Data for an optimized crystal structure of Zn2TcNi2.

Lattice parameters (Å, degrees): 6.974 6.974 2.615 90.00 90.00 90.00
Element x y z (fractional)
Zn: 0.628 0.128 0.000
Tc: 0.000 0.000 0.000
Ni: 0.171 0.671 0.500
Zn: 0.128 0.372 0.000
Zn: 0.872 0.628 0.000
Ni: 0.829 0.329 0.500
Ni: 0.671 0.829 0.500
Ni: 0.329 0.171 0.500
Zn: 0.372 0.872 0.000
Tc: 0.500 0.500 0.000

Values from the calculation:
Calculated volume in Å³ per cell: 127.2
ΔE_f in meV/atom: 34
Energy in eV/atom: -4.862
Space group: No. 127
Relative energy among the computed polymorphs in meV per atom: 0